Record 1
Here is a relaxed structure of KBaCr2Ru from the Alexandria database. Energies are from PBE.

Properties
The value obtained for the volume is 29.4 A^3/atom. Its crystal system is tetragonal. Its energy relative to the elements is 0.892 eV/atom. As for the calculated total energy: -0.398 Ry per atom.

Cell lengths 5.0076, 5.0076, 5.8569 Å; angles 90.00, 90.00, 90.00 degrees
Space group P4/mmm (No. 123)
Asymmetric unit:
K (0.0000, 0.0000, 0.0000) [1 per cell]
Ba (0.5000, 0.5000, 0.0000) [1 per cell]
Cr (0.0000, 0.5000, 0.5000) [2 per cell]
Ru (0.5000, 0.5000, 0.5000) [1 per cell]

=====

Record 2
Here is a relaxed structure of Li3TaW from the Alexandria database. Energies are from PBE.

Properties
Its energy relative to the lowest polymorph listed for this composition is 0.000 eV/atom. The value obtained for the volume is 17.5 A^3/atom. Its crystal system is cubic. Its energy relative to the elements is 1.982 eV/atom. As for the calculated total energy: -0.303 Ry per atom.

Cell lengths 4.4391, 4.4391, 4.4391 Å; angles 90.00, 90.00, 90.00 degrees
Space group Pm-3m (No. 221)
Asymmetric unit:
Li (0.0000, 0.0000, 0.5000) [3 per cell]
Ta (0.5000, 0.5000, 0.5000) [1 per cell]
W (0.0000, 0.0000, 0.0000) [1 per cell]

=====

Record 3
Here is a relaxed structure of Sr3TiH from the Alexandria database. Energies are from PBE.

Properties
The value obtained for the volume is 31.7 A^3/atom. Its crystal system is cubic. As for the calculated total energy: -0.221 Ry per atom.

Cell lengths 5.4092, 5.4092, 5.4092 Å; angles 90.00, 90.00, 90.00 degrees
Space group Pm-3m (No. 221)
Asymmetric unit:
Sr (0.0000, 0.0000, 0.5000) [3 per cell]
Ti (0.5000, 0.5000, 0.5000) [1 per cell]
H (0.0000, 0.0000, 0.0000) [1 per cell]

=====

Record 4
Here is a relaxed structure of Th3TaSi2Rh9 from the Alexandria database. Energies are from PBE.

Properties
The value obtained for the volume is 19.5 A^3/atom. As for the formation energy without anion corrections: -0.645 eV/atom. Its crystal system is trigonal. As for the calculated total energy: -0.592 Ry per atom.

Cell lengths 5.8677, 5.8677, 9.8004 Å; angles 90.00, 90.00, 120.00 degrees
Space group P-3m1 (No. 164)
Asymmetric unit:
Th (0.0000, 0.0000, 0.0000) [1 per cell]
Th (0.3333, 0.6667, 0.6440) [2 per cell]
Ta (0.0000, 0.0000, 0.5000) [1 per cell]
Si (0.3333, 0.6667, 0.1563) [2 per cell]
Rh (0.0000, 0.5000, 0.0000) [3 per cell]
Rh (0.1628, 0.3256, 0.3082) [6 per cell]

=====

Record 5
Here is a relaxed structure of Tb5Ho4Al from the Alexandria database. Energies are from PBE.

Properties
Its energy relative to the lowest polymorph listed for this composition is 0.000 eV/atom. The value obtained for the volume is 30.0 A^3/atom. Its crystal system is tetragonal. Its energy relative to the elements is -0.060 eV/atom. As for the calculated total energy: -0.337 Ry per atom.

Cell lengths 3.5368, 3.5368, 23.9961 Å; angles 90.00, 90.00, 90.00 degrees
Space group P4/mmm (No. 123)
Asymmetric unit:
Tb (0.0000, 0.0000, 0.0000) [1 per cell]
Tb (0.0000, 0.0000, 0.2096) [2 per cell]
Tb (0.0000, 0.0000, 0.4205) [2 per cell]
Ho (0.5000, 0.5000, 0.1044) [2 per cell]
Ho (0.5000, 0.5000, 0.3135) [2 per cell]
Al (0.5000, 0.5000, 0.5000) [1 per cell]

=====

Record 6
Here is a relaxed structure of Tb12NdSm7 from the Alexandria database. Energies are from PBE.

Properties
Its energy relative to the lowest polymorph listed for this composition is 0.000 eV/atom. The value obtained for the volume is 33.3 A^3/atom. Its crystal system is trigonal. Its energy relative to the elements is 0.279 eV/atom. As for the calculated total energy: -0.323 Ry per atom.

Cell lengths 12.9239, 12.9239, 13.8135 Å; angles 90.00, 90.00, 120.00 degrees
Space group R-3 (No. 148, hexagonal axes)
Asymmetric unit:
Tb (0.0019, 0.4349, 0.2490) [18 per cell]
Tb (0.0677, 0.2004, 0.3475) [18 per cell]
Nd (0.0000, 0.0000, 0.0000) [3 per cell]
Sm (0.0000, 0.0000, 0.5000) [3 per cell]
Sm (0.0677, 0.8660, 0.8470) [18 per cell]

=====

Record 7
Here is a relaxed structure of La2Sm3Dy6Pu from the Alexandria database. Energies are from PBE.

Properties
The value obtained for the volume is 32.4 A^3/atom. Its crystal system is monoclinic. Its energy relative to the elements is 0.044 eV/atom. As for the calculated total energy: -0.401 Ry per atom.

Cell lengths 6.2123, 10.7727, 11.8029 Å; angles 90.00, 100.15, 90.00 degrees
Space group C2/m (No. 12)
Asymmetric unit:
La (0.0000, 0.1666, 0.0000) [4 per cell]
Sm (0.0000, 0.0000, 0.5000) [2 per cell]
Sm (0.0000, 0.3332, 0.5000) [4 per cell]
Dy (0.2451, 0.5000, 0.7501) [4 per cell]
Dy (0.2471, 0.3359, 0.2498) [8 per cell]
Pu (0.0000, 0.5000, 0.0000) [2 per cell]

=====

Record 8
Here is a relaxed structure of Mg3ZnS4 from the Alexandria database. Energies are from PBE.

Properties
The value obtained for the volume is 22.4 A^3/atom. As for the formation energy without anion corrections: -1.256 eV/atom. Its crystal system is cubic. As for the calculated total energy: -0.300 Ry per atom.

Cell lengths 5.6345, 5.6345, 5.6345 Å; angles 90.00, 90.00, 90.00 degrees
Space group P-43m (No. 215)
Asymmetric unit:
Mg (0.0000, 0.0000, 0.5000) [3 per cell]
Zn (0.5000, 0.5000, 0.5000) [1 per cell]
S (0.2558, 0.2558, 0.7442) [4 per cell]

=====

Record 9
Here is a relaxed structure of Pm6TeC3 from the Alexandria database. Energies are from PBE.

Properties
The value obtained for the volume is 24.0 A^3/atom. As for the formation energy without anion corrections: -0.379 eV/atom. Its crystal system is monoclinic. As for the calculated total energy: -0.464 Ry per atom.

Cell lengths 11.5450, 3.7824, 11.5737 Å; angles 90.00, 108.02, 90.00 degrees
Space group P2_1/m (No. 11)
Asymmetric unit:
Pm (0.0535, 0.2500, 0.1330) [2 per cell]
Pm (0.1284, 0.7500, 0.6513) [2 per cell]
Pm (0.2417, 0.2500, 0.9521) [2 per cell]
Pm (0.3342, 0.7500, 0.2448) [2 per cell]
Pm (0.3755, 0.2500, 0.5349) [2 per cell]
Pm (0.4297, 0.7500, 0.8137) [2 per cell]
Te (0.1264, 0.7500, 0.3817) [2 per cell]
C (0.1433, 0.7500, 0.0379) [2 per cell]
C (0.2735, 0.2500, 0.7393) [2 per cell]
C (0.4732, 0.2500, 0.3511) [2 per cell]

=====

Record 10
Here is a relaxed structure of TlPd2Pt2 from the Alexandria database. Energies are from PBE.

Properties
Its energy relative to the lowest polymorph listed for this composition is 0.000 eV/atom. The value obtained for the volume is 18.0 A^3/atom. Its crystal system is tetragonal. Its energy relative to the elements is 0.069 eV/atom. As for the calculated total energy: -0.360 Ry per atom.

Cell lengths 7.1866, 7.1866, 3.4802 Å; angles 90.00, 90.00, 90.00 degrees
Space group P4/mbm (No. 127)
Asymmetric unit:
Tl (0.0000, 0.0000, 0.0000) [2 per cell]
Pd (0.1604, 0.3396, 0.5000) [4 per cell]
Pt (0.1350, 0.6350, 0.0000) [4 per cell]

=====

Record 11
Here is a relaxed structure of MgZnIn3 from the Alexandria database. Energies are from PBE.

Properties
Its energy relative to the lowest polymorph listed for this composition is 0.000 eV/atom. The value obtained for the volume is 29.0 A^3/atom. Its crystal system is cubic. Its energy relative to the elements is 0.270 eV/atom. As for the calculated total energy: -0.143 Ry per atom.

Cell lengths 5.2507, 5.2507, 5.2507 Å; angles 90.00, 90.00, 90.00 degrees
Space group Pm-3m (No. 221)
Asymmetric unit:
Mg (0.0000, 0.0000, 0.0000) [1 per cell]
Zn (0.5000, 0.5000, 0.5000) [1 per cell]
In (0.0000, 0.5000, 0.5000) [3 per cell]

=====

Record 12
Here is a relaxed structure of AcNdGeRh from the Alexandria database. Energies are from PBE.

Properties
Its energy relative to the lowest polymorph listed for this composition is 0.017 eV/atom. The value obtained for the volume is 29.9 A^3/atom. Its crystal system is tetragonal. Its energy relative to the elements is -0.507 eV/atom. As for the calculated total energy: -0.420 Ry per atom.

Cell lengths 4.8158, 4.8158, 10.3265 Å; angles 90.00, 90.00, 90.00 degrees
Space group P4/nmm (No. 129, origin choice 2)
Asymmetric unit:
Ac (0.2500, 0.2500, 0.1726) [2 per cell]
Nd (0.2500, 0.7500, 0.5000) [2 per cell]
Ge (0.2500, 0.2500, 0.8754) [2 per cell]
Rh (0.2500, 0.2500, 0.6474) [2 per cell]